Here is AlGa2Se4 after structural relaxation from the Alexandria database. Energies are from PBE.

Values from the calculation:
DOS at the Fermi energy, states/eV/atom: 0.29
Raw total energy, eV/atom: -3.974
Formation energy without anion corrections, meV/atom: -583

abc: 5.960 5.960 5.191
angles: 90.00 90.00 90.00
Atoms (fractional coordinates):
Al (0.000, 0.000, 0.000)
Ga (0.000, 0.500, 0.500)
Ga (0.500, 0.000, 0.500)
Se (0.254, 0.254, 0.225)
Se (0.254, 0.746, 0.775)
Se (0.746, 0.254, 0.775)
Se (0.746, 0.746, 0.225)


Here is Al2GaSe3 after structural relaxation from the Alexandria database. Energies are from PBE.

Values from the calculation:
DOS at the Fermi energy, states/eV/atom: 0.16
Raw total energy, eV/atom: -4.053
Formation energy without anion corrections, meV/atom: -559

abc: 9.447 9.447 11.213
angles: 113.05 113.05 22.43
Atoms (fractional coordinates):
Al (0.048, 0.048, 0.155)
Al (0.270, 0.270, 0.606)
Al (0.730, 0.730, 0.394)
Al (0.952, 0.952, 0.845)
Ga (0.277, 0.277, 0.928)
Ga (0.723, 0.723, 0.072)
Se (0.093, 0.093, 0.981)
Se (0.271, 0.271, 0.279)
Se (0.419, 0.419, 0.693)
Se (0.581, 0.581, 0.307)
Se (0.729, 0.729, 0.721)
Se (0.907, 0.907, 0.019)


Here is Al2GaSnSe6 after structural relaxation from the Alexandria database. Energies are from PBE.

Values from the calculation:
DOS at the Fermi energy, states/eV/atom: 0.57
Raw total energy, eV/atom: -4.150
Formation energy without anion corrections, meV/atom: -608

abc: 9.705 9.705 6.922
angles: 104.56 104.56 85.30
Atoms (fractional coordinates):
Al (0.024, 0.846, 0.886)
Al (0.154, 0.976, 0.614)
Al (0.846, 0.024, 0.386)
Al (0.976, 0.154, 0.114)
Ga (0.323, 0.677, 0.250)
Ga (0.677, 0.323, 0.750)
Sn (0.416, 0.584, 0.750)
Sn (0.584, 0.416, 0.250)
Se (0.049, 0.186, 0.493)
Se (0.134, 0.629, 0.934)
Se (0.186, 0.049, 0.993)
Se (0.313, 0.446, 0.330)
Se (0.371, 0.866, 0.566)
Se (0.446, 0.313, 0.830)
Se (0.554, 0.687, 0.170)
Se (0.629, 0.134, 0.434)
Se (0.687, 0.554, 0.670)
Se (0.814, 0.951, 0.007)
Se (0.866, 0.371, 0.066)
Se (0.951, 0.814, 0.507)


Here is Sr2AlGaSe5 after structural relaxation from the Alexandria database. Energies are from PBE.

Values from the calculation:
Raw total energy, eV/atom: -4.353
Formation energy without anion corrections, meV/atom: -1292

abc: 9.713 9.713 12.556
angles: 90.00 90.00 156.65
Atoms (fractional coordinates):
Sr (0.115, 0.885, 0.500)
Sr (0.122, 0.878, 0.123)
Sr (0.878, 0.122, 0.623)
Sr (0.885, 0.115, 0.000)
Al (0.226, 0.774, 0.846)
Al (0.774, 0.226, 0.346)
Ga (0.436, 0.564, 0.271)
Ga (0.564, 0.436, 0.771)
Se (0.043, 0.957, 0.882)
Se (0.282, 0.718, 0.482)
Se (0.312, 0.688, 0.212)
Se (0.351, 0.649, 0.815)
Se (0.495, 0.505, 0.102)
Se (0.505, 0.495, 0.602)
Se (0.649, 0.351, 0.315)
Se (0.688, 0.312, 0.712)
Se (0.718, 0.282, 0.982)
Se (0.957, 0.043, 0.382)


Here is Al2GaTeSe after structural relaxation from the Alexandria database. Energies are from PBE.

Values from the calculation:
DOS at the Fermi energy, states/eV/atom: 0.63
Raw total energy, eV/atom: -2.934
Formation energy without anion corrections, meV/atom: 494

abc: 5.181 5.181 5.542
angles: 90.00 90.00 90.00
Atoms (fractional coordinates):
Al (0.000, 0.500, 0.000)
Al (0.500, 0.000, 0.000)
Ga (0.000, 0.000, 0.500)
Te (0.500, 0.500, 0.500)
Se (0.500, 0.500, 0.000)


Here is AlGa2TeSe after structural relaxation from the Alexandria database. Energies are from PBE.

Values from the calculation:
DOS at the Fermi energy, states/eV/atom: 0.77
Raw total energy, eV/atom: -3.133
Formation energy without anion corrections, meV/atom: 151

abc: 5.088 5.088 4.904
angles: 90.00 90.00 90.00
Atoms (fractional coordinates):
Al (0.000, 0.000, 0.000)
Ga (0.000, 0.500, 0.000)
Ga (0.500, 0.000, 0.000)
Te (0.500, 0.500, 0.500)
Se (0.000, 0.000, 0.500)